This record from Alexandria describes crystalline ZrAsBr2 at its relaxed geometry. The functional is GGA-PBE.

a = 4.997 Å, b = 4.997 Å, c = 3.450 Å
α = 90.00°, β = 90.00°, γ = 90.00°
Space group P4/mmm (No. 123)
Inequivalent atoms, fractional coordinates:
Zr 0.000 0.000 0.000
As 0.500 0.500 0.000
Br 0.000 0.500 0.500

Polymorph energy (0 for the lowest one), eV per atom: 0.9620
D(E_F), states/eV/cell: 2.660
Mass density, g/cm3: 6.3
Formation energy from raw total energies, eV/atom: 0.14